Tb3Si4Au2: optimized geometry, PBE-GGA.

Its crystal system is monoclinic. For the calculated total energy, the calculation gives -5.48 eV/atom. As for the space group: C2/m, No. 12.

Structure (POSCAR):
```
Tb3Si4Au2
1.0
5.4112 -2.1131 0.0000
5.4112 2.1131 0.0000
-1.7621 0.0000 8.0383
Tb Si Au
3 4 2
direct
0.0000 0.0000 0.0000 Tb
0.3373 0.3373 0.3274 Tb
0.6627 0.6627 0.6726 Tb
0.0546 0.0546 0.3918 Si
0.2760 0.2760 0.9476 Si
0.7240 0.7240 0.0524 Si
0.9454 0.9454 0.6082 Si
0.3857 0.3857 0.7191 Au
0.6143 0.6143 0.2809 Au
```